1.
A plane-wave DFT calculation with PBE was carried out for crystalline Rb2GaCl7 at its relaxed geometry.

Calculated values
**E_form (uncorrected)**: -1.122 eV per atom
**SG**: I4/mmm
**DOS(E_F)**: 0.000 states/eV per atom

Lattice parameters (Å, degrees): 7.2691 7.2691 7.2691 113.03 113.03 102.56
Fractional positions:
Rb 0.2500 0.7500 0.5000
Rb 0.7500 0.2500 0.5000
Ga 0.0000 0.0000 0.0000
Cl 0.2074 0.2074 0.4147
Cl 0.2074 0.7926 0.0000
Cl 0.2603 0.2603 0.0000
Cl 0.5000 0.5000 0.0000
Cl 0.7397 0.7397 0.0000
Cl 0.7926 0.2074 0.0000
Cl 0.7926 0.7926 0.5853

=====

2.
A plane-wave DFT calculation with PBE was carried out for crystalline ScCd2Cu at its relaxed geometry.

Calculated values
**SG**: P4/mmm
**Energy of formation**: -0.092 eV/atom
**DOS(E_F)**: 0.789 states/eV per atom

Lattice parameters (Å, degrees): 4.2362 4.2362 4.3858 90.00 90.00 90.00
Fractional positions:
Sc 0.0000 0.0000 0.0000
Cd 0.0000 0.5000 0.5000
Cd 0.5000 0.0000 0.5000
Cu 0.5000 0.5000 0.0000

=====

3.
A plane-wave DFT calculation with PBE was carried out for crystalline KSb2Se at its relaxed geometry.

Calculated values
**Excess energy over the best structure of this formula in the dataset**: 359 meV/atom
**E_form (uncorrected)**: 0.002 eV per atom
**SG**: R-3m
**DOS(E_F)**: 0.435 states/eV per atom

Lattice parameters (Å, degrees): 3.8592 3.8592 29.0954 90.00 90.00 120.00
Fractional positions:
K 0.0000 0.0000 0.0000
K 0.3333 0.6667 0.6667
K 0.6667 0.3333 0.3333
Sb 0.0000 0.0000 0.2321
Sb 0.0000 0.0000 0.7679
Sb 0.3333 0.6667 0.4346
Sb 0.3333 0.6667 0.8987
Sb 0.6667 0.3333 0.1013
Sb 0.6667 0.3333 0.5654
Se 0.0000 0.0000 0.5000
Se 0.3333 0.6667 0.1667
Se 0.6667 0.3333 0.8333

=====

4.
A plane-wave DFT calculation with PBE was carried out for crystalline ScCo2Ni2 at its relaxed geometry.

Calculated values
**Excess energy over the best structure of this formula in the dataset**: 46 meV/atom
**SG**: P4/mbm
**Energy of formation**: -0.032 eV/atom
**DOS(E_F)**: 1.619 states/eV per atom

Lattice parameters (Å, degrees): 6.9149 6.9149 2.6766 90.00 90.00 90.00
Fractional positions:
Sc 0.0000 0.0000 0.0000
Sc 0.5000 0.5000 0.0000
Co 0.1709 0.3291 0.5000
Co 0.3291 0.8291 0.5000
Co 0.6709 0.1709 0.5000
Co 0.8291 0.6709 0.5000
Ni 0.1243 0.6243 0.0000
Ni 0.3757 0.1243 0.0000
Ni 0.6243 0.8757 0.0000
Ni 0.8757 0.3757 0.0000

=====

5.
A plane-wave DFT calculation with PBE was carried out for crystalline CdCo2P at its relaxed geometry.

Calculated values
**Excess energy over the best structure of this formula in the dataset**: 510 meV/atom
**SG**: P2/m
**Energy of formation**: 0.371 eV/atom
**DOS(E_F)**: 1.089 states/eV per atom

Lattice parameters (Å, degrees): 4.2226 2.8739 4.9774 90.00 115.04 90.00
Fractional positions:
Cd 0.0000 0.0000 0.0000
Co 0.5000 0.0000 0.5000
Co 0.5000 0.5000 0.0000
P 0.0000 0.5000 0.5000

=====

6.
A plane-wave DFT calculation with PBE was carried out for crystalline La6Dy2YSc at its relaxed geometry.

Calculated values
**SG**: C2/m
**Energy of formation**: 0.217 eV/atom
**DOS(E_F)**: 1.871 states/eV per atom

Lattice parameters (Å, degrees): 6.7749 6.7749 8.8339 102.18 102.18 62.97
Fractional positions:
La 0.0954 0.5849 0.2032
La 0.1321 0.1321 0.4003
La 0.4151 0.9046 0.7968
La 0.5849 0.0954 0.2032
La 0.8679 0.8679 0.5997
La 0.9046 0.4151 0.7968
Dy 0.4033 0.4033 0.8350
Dy 0.5967 0.5967 0.1650
Y 0.5000 0.5000 0.5000
Sc 0.0000 0.0000 0.0000

=====

7.
A plane-wave DFT calculation with PBE was carried out for crystalline PrSm14Y at its relaxed geometry.

Calculated values
**SG**: Amm2
**Energy of formation**: 0.000 eV/atom
**DOS(E_F)**: 1.028 states/eV per atom

Lattice parameters (Å, degrees): 11.7485 7.2917 7.2917 60.03 90.00 90.00
Fractional positions:
Pr 0.0000 0.0000 0.0000
Sm 0.0000 0.9999 0.4992
Sm 0.0000 0.4992 0.9999
Sm 0.2493 0.6665 0.6665
Sm 0.2504 0.1666 0.6663
Sm 0.2504 0.6663 0.1666
Sm 0.2513 0.1669 0.1669
Sm 0.5000 0.3334 0.3334
Sm 0.5000 0.3338 0.8332
Sm 0.5000 0.8332 0.3338
Sm 0.5000 0.8332 0.8332
Sm 0.7487 0.1669 0.1669
Sm 0.7496 0.1666 0.6663
Sm 0.7496 0.6663 0.1666
Sm 0.7507 0.6665 0.6665
Y 0.0000 0.4994 0.4994

=====

8.
A plane-wave DFT calculation with PBE was carried out for crystalline Sm2Dy8Th3 at its relaxed geometry.

Calculated values
**SG**: C2/m
**Energy of formation**: 0.270 eV/atom
**DOS(E_F)**: 1.762 states/eV per atom

Lattice parameters (Å, degrees): 10.8120 10.8120 5.5584 90.09 90.09 42.66
Fractional positions:
Sm 0.2392 0.2392 0.4978
Sm 0.7608 0.7608 0.5022
Dy 0.1263 0.1263 0.9993
Dy 0.1893 0.5985 0.4993
Dy 0.3333 0.3333 0.9983
Dy 0.4015 0.8107 0.5007
Dy 0.5985 0.1893 0.4993
Dy 0.6667 0.6667 0.0017
Dy 0.8107 0.4015 0.5007
Dy 0.8737 0.8737 0.0007
Th 0.0000 0.0000 0.5000
Th 0.2961 0.7039 0.0000
Th 0.7039 0.2961 0.0000

=====

9.
A plane-wave DFT calculation with PBE was carried out for crystalline Ti2GaB2Ir5 at its relaxed geometry.

Calculated values
**SG**: P4/mbm
**Energy of formation**: -0.658 eV/atom
**DOS(E_F)**: 0.457 states/eV per atom

Lattice parameters (Å, degrees): 9.1831 9.1831 3.1168 90.00 90.00 90.00
Fractional positions:
Ti 0.1749 0.3251 0.0000
Ti 0.3251 0.8251 0.0000
Ti 0.6749 0.1749 0.0000
Ti 0.8251 0.6749 0.0000
Ga 0.0000 0.0000 0.0000
Ga 0.5000 0.5000 0.0000
B 0.1251 0.6251 0.0000
B 0.3749 0.1251 0.0000
B 0.6251 0.8749 0.0000
B 0.8749 0.3749 0.0000
Ir 0.0000 0.5000 0.5000
Ir 0.0722 0.7852 0.5000
Ir 0.2148 0.0722 0.5000
Ir 0.2852 0.5722 0.5000
Ir 0.4278 0.2852 0.5000
Ir 0.5000 0.0000 0.5000
Ir 0.5722 0.7148 0.5000
Ir 0.7148 0.4278 0.5000
Ir 0.7852 0.9278 0.5000
Ir 0.9278 0.2148 0.5000

=====

10.
A plane-wave DFT calculation with PBE was carried out for crystalline Mn2AlTl at its relaxed geometry.

Calculated values
**Excess energy over the best structure of this formula in the dataset**: 18 meV/atom
**SG**: P4mm
**Energy of formation**: 0.235 eV/atom
**DOS(E_F)**: 0.677 states/eV per atom

Lattice parameters (Å, degrees): 3.0092 3.0092 7.6217 90.00 90.00 90.00
Fractional positions:
Mn 0.0000 0.0000 0.0000
Mn 0.5000 0.5000 0.1730
Al 0.5000 0.5000 0.8005
Tl 0.0000 0.0000 0.4660

=====

11.
A plane-wave DFT calculation with PBE was carried out for crystalline Mg3P at its relaxed geometry.

Calculated values
**SG**: R-3m
**Energy of formation**: 0.076 eV/atom
**DOS(E_F)**: 0.704 states/eV per atom

Lattice parameters (Å, degrees): 9.2729 9.2729 3.2332 90.00 90.00 120.00
Fractional positions:
Mg 0.0000 0.5000 0.0000
Mg 0.1667 0.3333 0.3333
Mg 0.1667 0.8333 0.3333
Mg 0.3333 0.1667 0.6667
Mg 0.5000 0.0000 0.0000
Mg 0.5000 0.5000 0.0000
Mg 0.6667 0.8333 0.3333
Mg 0.8333 0.1667 0.6667
Mg 0.8333 0.6667 0.6667
P 0.0000 0.0000 0.0000
P 0.3333 0.6667 0.6667
P 0.6667 0.3333 0.3333

=====

12.
A plane-wave DFT calculation with PBE was carried out for crystalline NbCd3Ga at its relaxed geometry.

Calculated values
**Excess energy over the best structure of this formula in the dataset**: 10 meV/atom
**SG**: Pm-3m
**Energy of formation**: 0.991 eV/atom
**DOS(E_F)**: 1.068 states/eV per atom

Lattice parameters (Å, degrees): 5.5266 5.5266 5.5266 90.00 90.00 90.00
Fractional positions:
Nb 0.0000 0.0000 0.0000
Cd 0.0000 0.0000 0.5000
Cd 0.0000 0.5000 0.0000
Cd 0.5000 0.0000 0.0000
Ga 0.5000 0.5000 0.5000